Computed, not measured: YScSn2Pd4 after structural relaxation at the PBE level of DFT.

Energy relative to the elements (meV per atom): -870
Final energy (eV/atom): -6.066
DOS(E_F) (states/eV/cell): 12.9
Theoretical density (g/cm³): 8.78

abc: 4.7002 4.7002 23.6269
angles: 90.00 90.00 120.00
Last column: nearest neighbours and their distance in Å.
Space group R-3m (No. 166, hexagonal axes)
Asymmetric unit:
Y 0.0000 0.0000 0.0000  8 Pd 2.97-3.01
Sc 0.0000 0.0000 0.5000  8 Pd 2.74-2.87
Sn 0.0000 0.0000 0.2485  7 Pd 2.83-2.89
Pd 0.0000 0.0000 0.1275  4 Sn 2.86-2.89, 3 Sc 2.87, 1 Y 3.01
Pd 0.0000 0.0000 0.3842  1 Sc 2.74, 3 Sn 2.83, 3 Y 2.97